[1]
CsMnNbO4 | PBE+U | relaxed

Properties
Fermi-level density of states ... 0.0000 states/eV/atom
E_tot ... -7.63 eV per atom
Space-group type ... P2_1/m
Magnetic moment ... 10.000 μB per cell
ρ ... 3.545 g/cm³

POSCAR file:
```
CsMnNbO4
1.0
5.953 0.000 0.000
0.000 6.201 0.000
-0.262 0.000 8.748
Cs Mn Nb O
2 2 2 8
Cartesian
1.119 1.550 4.098
4.572 4.651 4.650
0.464 1.550 8.578
5.227 4.651 0.170
1.864 4.651 1.846
3.827 1.550 6.901
0.894 3.183 1.125
0.894 6.119 1.125
1.633 4.651 3.674
1.983 1.550 7.222
3.708 4.651 1.526
4.058 1.550 5.074
4.797 0.083 7.623
4.797 3.018 7.623
```

=====

[2]
CsMn2Nb2O7 | PBE+U | relaxed

Properties
Fermi-level density of states ... 0.0709 states/eV/atom
E_tot ... -8.01 eV per atom
Space-group type ... Imm2
Magnetic moment ... 9.993 μB per cell
ρ ... 4.706 g/cm³

POSCAR file:
```
CsMn2Nb2O7
1.0
-2.005 8.475 2.806
2.005 -8.475 2.806
2.005 8.475 -2.806
Cs Mn Nb O
1 2 2 7
Cartesian
0.000 0.000 0.000
2.005 4.115 0.203
0.000 4.361 3.009
2.005 -1.942 2.799
2.005 1.942 2.799
2.005 -2.140 0.965
2.005 2.140 0.965
0.000 4.669 0.901
2.005 6.401 0.341
0.000 8.475 0.379
0.000 2.075 3.146
0.000 12.282 0.901
```